*1*
Material: PmHoHg4
Method: DFT, GGA-PBE
State: optimized geometry

a b c (Å): 10.7971 3.8904 7.8200
angles (deg): 90.00 110.65 90.00
Last column: nearest neighbours and their distance in Å.
Space group C2/m (No. 12)
Inequivalent atoms, fractional coordinates:
Pm 0.0000 0.0000 0.0000  10 Hg 3.26-3.36
Ho 0.0000 0.0000 0.5000  10 Hg 3.19-3.35
Hg 0.1675 0.5000 0.8254  5 Hg 3.20-3.39, 2 Ho 3.21, 3 Pm 3.26-3.36
Hg 0.1683 0.5000 0.3416  5 Hg 3.15-3.39, 3 Ho 3.19-3.35, 2 Pm 3.29

*2*
Material: PmHoHg4
Method: DFT, GGA-PBE
State: optimized geometry

a b c (Å): 8.4511 8.4511 8.4511
angles (deg): 90.00 90.00 90.00
Last column: nearest neighbours and their distance in Å.
Space group F-43m (No. 216)
Inequivalent atoms, fractional coordinates:
Pm 0.0000 0.0000 0.0000  12 Hg 3.50, 4 Ho 3.66
Ho 0.2500 0.2500 0.7500  12 Hg 3.50, 4 Pm 3.66
Hg 0.1250 0.1250 0.3750  6 Hg 2.99

Stability, highest: *1*

*1*
Material: PmHo2Hg
Method: DFT, GGA-PBE
State: optimized geometry

a b c (Å): 7.6624 7.6624 7.6624
angles (deg): 90.00 90.00 90.00
Last column: nearest neighbours and their distance in Å.
Space group Fm-3m (No. 225)
Inequivalent atoms, fractional coordinates:
Pm 0.0000 0.0000 0.0000  8 Ho 3.32
Ho 0.2500 0.2500 0.2500  4 Hg 3.32, 4 Pm 3.32
Hg 0.0000 0.0000 0.5000  8 Ho 3.32

*2*
Material: PmHo2Hg
Method: DFT, GGA-PBE
State: optimized geometry

a b c (Å): 3.6482 3.6482 31.5754
angles (deg): 90.00 90.00 120.00
Last column: nearest neighbours and their distance in Å.
Space group R3m (No. 160, hexagonal axes)
Inequivalent atoms, fractional coordinates:
Pm 0.0000 0.0000 0.0000  6 Ho 3.59, 6 Pm 3.65
Ho 0.0000 0.0000 0.5745  3 Hg 3.16
Ho 0.0000 0.0000 0.7588  3 Hg 3.15
Hg 0.0000 0.0000 0.1664  6 Ho 3.15-3.16

Stability, highest: *2*

*1*
Material: Pm3Ho2Hg2
Method: DFT, GGA-PBE
State: optimized geometry

a b c (Å): 4.9430 23.2552 3.5274
angles (deg): 90.00 90.00 90.00
Last column: nearest neighbours and their distance in Å.
Space group Cmmm (No. 65)
Inequivalent atoms, fractional coordinates:
Pm 0.0000 0.0000 0.0000  4 Pm 3.32-3.53, 8 Hg 3.46
Pm 0.0000 0.1430 0.0000  3 Pm 3.32-3.53, 4 Ho 3.41, 4 Hg 3.47
Ho 0.0000 0.2905 0.5000  2 Ho 3.11, 1 Hg 3.22, 4 Pm 3.41
Hg 0.0000 0.4288 0.5000  1 Ho 3.22, 3 Hg 3.31-3.53, 8 Pm 3.46-3.47

*2*
Material: Pm3Ho2Hg2
Method: DFT, GGA-PBE
State: optimized geometry

a b c (Å): 9.3966 5.4315 8.6079
angles (deg): 90.00 111.39 90.00
Last column: nearest neighbours and their distance in Å.
Space group C2/m (No. 12)
Inequivalent atoms, fractional coordinates:
Pm 0.0000 0.0000 0.0000  6 Hg 3.32
Pm 0.1590 0.0000 0.4766  1 Hg 3.11, 3 Pm 3.16
Ho 0.0744 0.5000 0.7231  4 Hg 3.30-3.34, 3 Pm 3.52, 1 Ho 3.58
Hg 0.2115 0.5000 0.1352  4 Pm 3.11-3.32, 4 Ho 3.30-3.34

Stability, highest: *2*

*1*
Material: Pr3HoHg
Method: DFT, GGA-PBE
State: optimized geometry

a b c (Å): 19.7557 3.7732 8.8397
angles (deg): 90.00 103.47 90.00
Last column: nearest neighbours and their distance in Å.
Space group C2/m (No. 12)
Inequivalent atoms, fractional coordinates:
Pr 0.0044 0.0000 0.2912  4 Hg 3.28-3.51, 3 Pr 3.50-3.63
Pr 0.0970 0.5000 0.0342  3 Ho 3.62-3.81, 9 Pr 3.63-3.77, 1 Hg 3.97
Pr 0.1865 0.0000 0.3779  2 Hg 3.29, 5 Pr 3.46-3.66, 2 Ho 3.67
Ho 0.2053 0.0000 0.8323  2 Hg 3.13
Hg 0.1090 0.5000 0.5917  2 Ho 3.13, 4 Pr 3.28-3.29

*2*
Material: Pr3HoHg
Method: DFT, GGA-PBE
State: optimized geometry

a b c (Å): 11.6174 7.6742 8.1793
angles (deg): 90.00 112.19 90.00
Last column: nearest neighbours and their distance in Å.
Space group C2/m (No. 12)
Inequivalent atoms, fractional coordinates:
Pr 0.0478 0.0000 0.2331  2 Hg 3.43-3.74, 7 Pr 3.55-3.70, 2 Ho 3.84
Pr 0.1644 0.2553 0.6471  2 Hg 3.29-3.31, 4 Pr 3.56-3.67, 3 Ho 3.57-3.60
Ho 0.0594 0.5000 0.2410  2 Hg 3.21-3.29, 4 Pr 3.57-3.59
Hg 0.2320 0.5000 0.0017  2 Ho 3.21-3.29, 5 Pr 3.29-3.43

Stability, highest: *1*

*1*
Material: PrHo4Hg
Method: DFT, GGA-PBE
State: optimized geometry

a b c (Å): 8.7713 13.9654 6.3434
angles (deg): 90.00 109.27 90.00
Last column: nearest neighbours and their distance in Å.
Space group C2/c (No. 15)
Inequivalent atoms, fractional coordinates:
Pr 0.0000 0.0977 0.2500  10 Ho 3.50-3.77
Ho 0.0994 0.3130 0.5474  2 Hg 3.16-3.17, 3 Ho 3.30-3.39, 1 Pr 3.50
Ho 0.2195 0.1160 0.8698  2 Hg 3.24-3.26, 2 Ho 3.30-3.38, 2 Pr 3.50-3.56
Hg 0.0000 0.4995 0.2500  8 Ho 3.16-3.26, 2 Hg 3.17

*2*
Material: PrHo4Hg
Method: DFT, GGA-PBE
State: optimized geometry

a b c (Å): 3.5950 3.5950 13.9969
angles (deg): 90.00 90.00 90.00
Last column: nearest neighbours and their distance in Å.
Space group P4/mmm (No. 123)
Inequivalent atoms, fractional coordinates:
Pr 0.0000 0.0000 0.0000  4 Pr 3.60, 8 Ho 3.60
Ho 0.0000 0.0000 0.3587  4 Hg 3.22, 8 Ho 3.55-3.60
Ho 0.5000 0.5000 0.1819  8 Ho 3.55-3.60, 4 Pr 3.60
Hg 0.5000 0.5000 0.5000  8 Ho 3.22, 4 Hg 3.60

Stability, highest: *2*

*1*
Material: Pr2Ho2Hg
Method: DFT, GGA-PBE
State: optimized geometry

a b c (Å): 3.6451 3.6451 23.2601
angles (deg): 90.00 90.00 90.00
Last column: nearest neighbours and their distance in Å.
Space group I4/mmm (No. 139)
Inequivalent atoms, fractional coordinates:
Pr 0.0000 0.0000 0.1923  4 Ho 3.63, 8 Pr 3.65-3.72
Ho 0.0000 0.0000 0.4173  4 Hg 3.22
Hg 0.0000 0.0000 0.0000  8 Ho 3.22

*2*
Material: Pr2Ho2Hg
Method: DFT, GGA-PBE
State: optimized geometry

a b c (Å): 8.4213 9.5416 8.5353
angles (deg): 90.00 115.24 90.00
Last column: nearest neighbours and their distance in Å.
Space group C2/m (No. 12)
Inequivalent atoms, fractional coordinates:
Pr 0.1643 0.0000 0.4287  3 Pr 3.47-3.59, 6 Ho 3.48-3.72, 2 Hg 3.68
Pr 0.2230 0.5000 0.1151  4 Hg 3.31-3.60, 3 Pr 3.42-3.59, 4 Ho 3.45-3.51
Ho 0.0724 0.3157 0.7218  2 Hg 3.04-3.37
Hg 0.0000 0.1682 0.0000  4 Ho 3.04-3.37, 1 Hg 3.21, 2 Pr 3.31

Stability, highest: *1*

*1*
Material: Pr4HoHg
Method: DFT, GGA-PBE
State: optimized geometry

a b c (Å): 9.0836 14.3032 6.5379
angles (deg): 90.00 109.33 90.00
Last column: nearest neighbours and their distance in Å.
Space group C2/c (No. 15)
Inequivalent atoms, fractional coordinates:
Pr 0.1000 0.1892 0.0494  2 Hg 3.27-3.29, 4 Pr 3.47-3.65, 1 Ho 3.64
Pr 0.2149 0.3872 0.3752  2 Hg 3.35-3.36, 2 Ho 3.47-3.61, 4 Pr 3.48-3.74
Ho 0.0000 0.4076 0.7500  8 Pr 3.47-3.70
Hg 0.0000 0.0019 0.7500  8 Pr 3.27-3.36, 2 Hg 3.27

*2*
Material: Pr4HoHg
Method: DFT, GGA-PBE
State: optimized geometry

a b c (Å): 3.7282 3.7282 14.2183
angles (deg): 90.00 90.00 90.00
Last column: nearest neighbours and their distance in Å.
Space group P4/mmm (No. 123)
Inequivalent atoms, fractional coordinates:
Pr 0.0000 0.0000 0.1445  4 Hg 3.34, 8 Pr 3.69-3.73
Pr 0.5000 0.5000 0.3259  4 Ho 3.62, 8 Pr 3.69-3.73
Ho 0.0000 0.0000 0.5000  8 Pr 3.62, 4 Ho 3.73
Hg 0.5000 0.5000 0.0000  8 Pr 3.34, 4 Hg 3.73

Stability, highest: *2*

*1*
Material: PrHo2Hg2
Method: DFT, GGA-PBE
State: optimized geometry

a b c (Å): 5.2284 5.2284 6.4084
angles (deg): 90.00 90.00 120.00
Last column: nearest neighbours and their distance in Å.
Space group P-3m1 (No. 164)
Inequivalent atoms, fractional coordinates:
Pr 0.0000 0.0000 0.0000  6 Hg 3.25
Ho 0.3333 0.6667 0.6593  5 Hg 3.02-3.38
Hg 0.3333 0.6667 0.1873  5 Ho 3.02-3.38, 3 Pr 3.25

*2*
Material: PrHo2Hg2
Method: DFT, GGA-PBE
State: optimized geometry

a b c (Å): 3.7489 5.4008 13.8958
angles (deg): 90.00 97.74 90.00
Last column: nearest neighbours and their distance in Å.
Space group P2_1/m (No. 11)
Inequivalent atoms, fractional coordinates:
Pr 0.1485 0.2500 0.2926  6 Hg 3.29-3.39, 2 Ho 3.67
Ho 0.0489 0.7500 0.0962  8 Hg 3.15-3.29
Ho 0.2361 0.7500 0.4728  2 Hg 3.15-3.16, 4 Ho 3.37
Hg 0.3546 0.2500 0.7114  4 Ho 3.15-3.25, 4 Pr 3.29
Hg 0.4558 0.7500 0.9118  6 Ho 3.15-3.29, 2 Pr 3.38-3.39

Stability, highest: *2*